Entry 1:
A plane-wave DFT calculation with GGA-PBEsol was carried out for an optimized crystal structure of Rb2Te2I.

a b c (Å): 4.4508 4.4508 10.4366
angles (deg): 102.31 102.31 90.00
Closest atoms and distances in Å follow each position.
Fractional positions:
I 0.0000 0.0000 0.0000  8 Rb 3.75
Te 0.2500 0.7500 0.5000  4 Te 3.15
Te 0.7500 0.2500 0.5000  4 Te 3.15
Rb 0.3973 0.3973 0.7945  4 Te 3.68, 4 I 3.75, 1 Rb 4.09
Rb 0.6027 0.6027 0.2055  4 Te 3.68, 4 I 3.75, 1 Rb 4.09

Values from the calculation:
symmetry	I4/mmm, No. 139
ΔE_f (raw)	-91	kJ/mol of atoms



Entry 2:
A plane-wave DFT calculation with GGA-PBEsol was carried out for an optimized crystal structure of Ca3AlP3.

a b c (Å): 7.1689 7.9953 11.2266
angles (deg): 99.29 90.00 90.00
Closest atoms and distances in Å follow each position.
Fractional positions:
Al 0.4190 0.1833 0.0363  4 P 2.33-2.48
Al 0.9190 0.8167 0.4637  4 P 2.33-2.48
Al 0.5810 0.8167 0.9637  4 P 2.33-2.48
Al 0.0810 0.1833 0.5363  4 P 2.33-2.48
Ca 0.3170 0.9006 0.3826  4 P 2.79-2.99, 2 Al 3.10-3.11
Ca 0.8170 0.0994 0.1174  4 P 2.79-2.99, 2 Al 3.10-3.11
Ca 0.6830 0.0994 0.6174  4 P 2.79-2.99, 2 Al 3.10-3.11
Ca 0.1830 0.9006 0.8826  4 P 2.79-2.99, 2 Al 3.10-3.11
Ca 0.2385 0.5935 0.0816  6 P 2.88-3.10
Ca 0.7385 0.4065 0.4184  6 P 2.88-3.10
Ca 0.7615 0.4065 0.9184  6 P 2.88-3.10
Ca 0.2615 0.5935 0.5816  6 P 2.88-3.10
Ca 0.2426 0.2828 0.2794  4 P 2.79-3.07, 1 Al 3.00
Ca 0.7426 0.7172 0.2206  4 P 2.79-3.07, 1 Al 3.00
Ca 0.7574 0.7172 0.7206  4 P 2.79-3.07, 1 Al 3.00
Ca 0.2574 0.2828 0.7794  4 P 2.79-3.07, 1 Al 3.00
P 0.4264 0.9353 0.1428  2 Al 2.36-2.48
P 0.9264 0.0647 0.3572  2 Al 2.36-2.48
P 0.5736 0.0647 0.8572  2 Al 2.36-2.48
P 0.0736 0.9353 0.6428  2 Al 2.36-2.48
P 0.3936 0.2523 0.5086  1 Al 2.34
P 0.8936 0.7477 0.9914  1 Al 2.34
P 0.6064 0.7477 0.4914  1 Al 2.34
P 0.1064 0.2523 0.0086  1 Al 2.34
P 0.4246 0.6005 0.8381  1 Al 2.33
P 0.9246 0.3995 0.6619  1 Al 2.33
P 0.5754 0.3995 0.1619  1 Al 2.33
P 0.0754 0.6005 0.3381  1 Al 2.33

Values from the calculation:
E_form	-1.0745	eV/atom
symmetry	P2_1/c, No. 14
distance to the lowest polymorph of the same formula	18.2	meV/atom